1.
Compound: Sr3B2RhO6
Source: Alexandria
Functional: PBE-GGA
Structure: optimized geometry

Properties
Calculated total energy, eV for the cell shown: -81.40
Formation energy from raw total energies, eV per atom: -2.158
Spin magnetization, μB per atom: 0.100

abc: 5.3269 5.3269 7.4682
angles: 90.00 90.00 120.00
Space group P-3m1 (No. 164)
Asymmetric unit:
Sr1 0.0000 0.0000 0.0000 [1 per cell]
Sr2 0.3333 0.6667 0.6862 [2 per cell]
B1 0.3333 0.6667 0.2385 [2 per cell]
Rh1 0.0000 0.0000 0.5000 [1 per cell]
O1 0.1831 0.3661 0.2413 [6 per cell]

2.
Compound: Zr2TlPt
Source: Alexandria
Functional: PBE-GGA
Structure: optimized geometry

Properties
Distance to the lowest polymorph of the same formula, meV per atom: 104
Calculated total energy, eV for the cell shown: -27.07
Spin magnetization, μB per atom: 0.000
Energy of formation from the pure elements, eV/atom: -0.39

abc: 3.491 3.491 6.987
angles: 90.00 90.00 90.00
Space group P4mm (No. 99)
Asymmetric unit:
Zr1 0.000 0.000 0.000 [1 per cell]
Zr2 0.500 0.500 0.285 [1 per cell]
Tl1 0.500 0.500 0.735 [1 per cell]
Pt1 0.000 0.000 0.481 [1 per cell]

3.
Compound: Tm2GaGe2Ir5
Source: Alexandria
Functional: PBE-GGA
Structure: optimized geometry

Properties
Calculated total energy, eV for the cell shown: -143.97
Spin magnetization, μB per atom: 0.000
Energy of formation from the pure elements, eV/atom: -0.65

abc: 9.635 9.635 3.613
angles: 90.00 90.00 90.00
Space group P4/mbm (No. 127)
Asymmetric unit:
Tm1 0.173 0.327 0.000 [4 per cell]
Ga1 0.000 0.000 0.000 [2 per cell]
Ge1 0.127 0.627 0.000 [4 per cell]
Ir1 0.000 0.500 0.500 [2 per cell]
Ir2 0.065 0.796 0.500 [8 per cell]

- spin magnetization of number 2 (Zr2TlPt)?
  0.000 μB per atom

- Which of these has the highest calculated total energy?
  Zr2TlPt